(1)
{"formula": "Li3CaSn3", "functional": "GGA-PBE", "state": "relaxed", "ef_ev_per_atom": 0.11, "cell": [[7.303, 0.000, 0.000], [0.000, 7.303, 0.000], [0.000, 0.000, 7.303]], "species": ["Li", "Li", "Li", "Li", "Li", "Li", "Ca", "Ca", "Sn", "Sn", "Sn", "Sn", "Sn", "Sn"], "frac_coords": [[0.000, 0.250, 0.500], [0.000, 0.750, 0.500], [0.250, 0.500, 0.000], [0.500, 0.000, 0.250], [0.500, 0.000, 0.750], [0.750, 0.500, 0.000], [0.000, 0.000, 0.000], [0.500, 0.500, 0.500], [0.000, 0.500, 0.250], [0.000, 0.500, 0.750], [0.250, 0.000, 0.500], [0.500, 0.250, 0.000], [0.500, 0.750, 0.000], [0.750, 0.000, 0.500]]}

---

(2)
{"formula": "Pm3ZnIr", "functional": "GGA-PBE", "state": "relaxed", "de_polymorph_mev_per_atom": 39, "ef_ev_per_atom": -0.40, "cell": [[4.533, 0.000, 0.000], [0.000, 7.101, 0.000], [0.000, 0.000, 8.736]], "species": ["Pm", "Pm", "Pm", "Pm", "Pm", "Pm", "Zn", "Zn", "Ir", "Ir"], "frac_coords": [[0.250, 0.003, 0.160], [0.250, 0.250, 0.561], [0.250, 0.497, 0.160], [0.750, 0.503, 0.840], [0.750, 0.750, 0.439], [0.750, 0.997, 0.840], [0.250, 0.750, 0.671], [0.750, 0.250, 0.329], [0.250, 0.250, 0.889], [0.750, 0.750, 0.111]]}

---

(3)
{"formula": "La3PmTh2N6", "functional": "GGA-PBE", "state": "relaxed", "cell": [[3.196, -5.535, 0.000], [3.196, 5.535, 0.000], [-2.128, 0.000, 6.054]], "species": ["La", "La", "La", "Pm", "Th", "Th", "N", "N", "N", "N", "N", "N"], "frac_coords": [[0.000, 0.000, 0.000], [0.335, 0.665, 0.000], [0.665, 0.335, 0.000], [0.500, 0.500, 0.500], [0.167, 0.833, 0.500], [0.833, 0.167, 0.500], [0.081, 0.422, 0.267], [0.236, 0.236, 0.732], [0.422, 0.081, 0.267], [0.578, 0.919, 0.733], [0.764, 0.764, 0.268], [0.919, 0.578, 0.733]]}

---

(4)
{"formula": "HoPd2Au3", "functional": "GGA-PBE", "state": "relaxed", "ef_ev_per_atom": -0.53, "cell": [[2.929, -4.263, 0.000], [2.929, 4.263, 0.000], [-2.860, 0.000, 8.782]], "species": ["Ho", "Ho", "Pd", "Pd", "Pd", "Pd", "Au", "Au", "Au", "Au", "Au", "Au"], "frac_coords": [[0.126, 0.874, 0.750], [0.874, 0.126, 0.250], [0.045, 0.296, 0.593], [0.296, 0.045, 0.093], [0.704, 0.955, 0.907], [0.955, 0.704, 0.407], [0.213, 0.462, 0.927], [0.377, 0.623, 0.250], [0.462, 0.213, 0.427], [0.538, 0.787, 0.573], [0.623, 0.377, 0.750], [0.787, 0.538, 0.073]]}

---

Number 1: energy -2.709 eV per atom, total magnetic moment 0.0 Bohr magnetons per cell, DOS(E_F) 7.35 states/eV per cell. Number 2: energy -5.273 eV per atom, total magnetic moment 0.0 Bohr magnetons per cell, DOS(E_F) 9.04 states/eV per cell. Number 3: energy -8.513 eV per atom, total magnetic moment 0.0 Bohr magnetons per cell, DOS(E_F) 2.09 states/eV per cell. Number 4: energy -4.660 eV per atom, total magnetic moment 0.0 Bohr magnetons per cell, DOS(E_F) 4.82 states/eV per cell.